Entry 1:
Computed, not measured: a relaxed Rb2BaTc crystal at the GGA-PBE level of DFT.

Results
ΔE_f   1263 meV per atom
V   45.53 Å³/atom
Relative energy among the computed polymorphs   0.000 eV per atom
Space-group type   Fm-3m (225)
Crystal system   cubic

Cell: 6.3626 6.3626 6.3626 Å, 60.00 60.00 60.00°
With the nearest neighbours (Å) after each atom.
Sites, in units of the cell vectors:
Rb 0.2500 0.2500 0.2500  4 Ba 3.90, 4 Tc 3.90
Rb 0.7500 0.7500 0.7500  4 Ba 3.90, 4 Tc 3.90
Ba 0.0000 0.0000 0.0000  8 Rb 3.90
Tc 0.5000 0.5000 0.5000  8 Rb 3.90



Entry 2:
Computed, not measured: a relaxed RbBa3Tc crystal at the GGA-PBE level of DFT.

Results
ΔE_f   496 meV per atom
V   50.23 Å³/atom
Relative energy among the computed polymorphs   0.000 eV per atom
Space-group type   Pm-3m (221)
Crystal system   cubic

Cell: 6.3094 6.3094 6.3094 Å, 90.00 90.00 90.00°
With the nearest neighbours (Å) after each atom.
Sites, in units of the cell vectors:
Rb 0.0000 0.0000 0.0000  12 Ba 4.46
Ba 0.0000 0.5000 0.5000  2 Tc 3.15
Ba 0.5000 0.0000 0.5000  2 Tc 3.15
Ba 0.5000 0.5000 0.0000  2 Tc 3.15
Tc 0.5000 0.5000 0.5000  6 Ba 3.15



Entry 3:
Computed, not measured: a relaxed RbBa2Te crystal at the GGA-PBE level of DFT.

Results
V   62.42 Å³/atom
Space-group type   R3m (160)
Energy relative to the elements, uncorrected   -0.775 eV per atom
Crystal system   trigonal

Cell: 12.8754 12.8754 12.8754 Å, 21.43 21.43 21.43°
With the nearest neighbours (Å) after each atom.
Sites, in units of the cell vectors:
Rb 0.0000 0.0000 0.0000  6 Rb 4.79, 6 Ba 5.02-5.03
Ba 0.5553 0.5553 0.5553  3 Te 3.47
Ba 0.7777 0.7777 0.7777  3 Te 3.47
Te 0.1664 0.1664 0.1664  6 Ba 3.47



Entry 4:
Computed, not measured: a relaxed RbBa2Te2 crystal at the GGA-PBE level of DFT.

Results
V   43.12 Å³/atom
Relative energy among the computed polymorphs   0.000 eV per atom
Space-group type   P4/mbm (127)
Energy relative to the elements, uncorrected   -1.280 eV per atom
Crystal system   tetragonal

Cell: 9.6175 9.6175 4.6617 Å, 90.00 90.00 90.00°
With the nearest neighbours (Å) after each atom.
Sites, in units of the cell vectors:
Rb 0.0000 0.0000 0.0000  4 Te 3.66
Rb 0.5000 0.5000 0.0000  4 Te 3.66
Ba 0.1495 0.3505 0.5000  6 Te 3.57-3.72
Ba 0.3505 0.8505 0.5000  6 Te 3.57-3.72
Ba 0.6495 0.1495 0.5000  6 Te 3.57-3.72
Ba 0.8505 0.6495 0.5000  6 Te 3.57-3.72
Te 0.1513 0.6513 0.0000  6 Ba 3.57-3.72, 2 Rb 3.66
Te 0.3487 0.1513 0.0000  6 Ba 3.57-3.72, 2 Rb 3.66
Te 0.6513 0.8487 0.0000  6 Ba 3.57-3.72, 2 Rb 3.66
Te 0.8487 0.3487 0.0000  6 Ba 3.57-3.72, 2 Rb 3.66



Entry 5:
Computed, not measured: a relaxed RbBa3Te4 crystal at the GGA-PBE level of DFT.

Results
V   45.37 Å³/atom
Space-group type   Pm-3m (221)
Energy relative to the elements, uncorrected   -1.431 eV per atom
Crystal system   cubic

Cell: 7.1333 7.1333 7.1333 Å, 90.00 90.00 90.00°
With the nearest neighbours (Å) after each atom.
Sites, in units of the cell vectors:
Rb 0.0000 0.0000 0.0000  6 Te 3.57
Ba 0.0000 0.5000 0.5000  6 Te 3.57
Ba 0.5000 0.0000 0.5000  6 Te 3.57
Ba 0.5000 0.5000 0.0000  6 Te 3.57
Te 0.0000 0.0000 0.5000  4 Ba 3.57, 2 Rb 3.57
Te 0.0000 0.5000 0.0000  4 Ba 3.57, 2 Rb 3.57
Te 0.5000 0.0000 0.0000  4 Ba 3.57, 2 Rb 3.57
Te 0.5000 0.5000 0.5000  6 Ba 3.57



Entry 6:
Computed, not measured: a relaxed Rb2BaTe2 crystal at the GGA-PBE level of DFT.

Results
V   46.67 Å³/atom
Space-group type   P4/mbm (127)
Energy relative to the elements, uncorrected   -1.084 eV per atom
Crystal system   tetragonal

Cell: 9.5316 9.5316 5.1369 Å, 90.00 90.00 90.00°
With the nearest neighbours (Å) after each atom.
Sites, in units of the cell vectors:
Rb 0.1269 0.3731 0.0000  1 Rb 3.42, 2 Te 3.65
Rb 0.3731 0.8731 0.0000  1 Rb 3.42, 2 Te 3.65
Rb 0.6269 0.1269 0.0000  1 Rb 3.42, 2 Te 3.65
Rb 0.8731 0.6269 0.0000  1 Rb 3.42, 2 Te 3.65
Ba 0.0000 0.0000 0.5000  4 Te 3.50
Ba 0.5000 0.5000 0.5000  4 Te 3.50
Te 0.1802 0.6802 0.5000  2 Ba 3.50, 2 Rb 3.65
Te 0.3198 0.1802 0.5000  2 Ba 3.50, 2 Rb 3.65
Te 0.6802 0.8198 0.5000  2 Ba 3.50, 2 Rb 3.65
Te 0.8198 0.3198 0.5000  2 Ba 3.50, 2 Rb 3.65



Entry 7:
Computed, not measured: a relaxed RbBaTe crystal at the GGA-PBE level of DFT.

Results
V   63.21 Å³/atom
Relative energy among the computed polymorphs   0.000 eV per atom
Space-group type   C2/m (12)
Energy relative to the elements, uncorrected   -1.003 eV per atom
Crystal system   monoclinic

Cell: 5.0868 5.0868 17.2243 Å, 99.49 99.49 60.08°
With the nearest neighbours (Å) after each atom.
Sites, in units of the cell vectors:
Rb 0.1342 0.1342 0.3578  3 Te 3.68
Rb 0.8658 0.8658 0.6422  3 Te 3.68
Ba 0.2855 0.2855 0.8754  3 Te 3.41
Ba 0.7145 0.7145 0.1246  3 Te 3.41
Te 0.4191 0.4191 0.2270  3 Ba 3.41, 3 Rb 3.68
Te 0.5809 0.5809 0.7730  3 Ba 3.41, 3 Rb 3.68



Entry 8:
Computed, not measured: a relaxed RbBa2Te2 crystal at the GGA-PBE level of DFT.

Results
V   41.90 Å³/atom
Relative energy among the computed polymorphs   0.119 eV per atom
Space-group type   P4/mbm (127)
Energy relative to the elements, uncorrected   -1.161 eV per atom
Crystal system   tetragonal

Cell: 9.8407 9.8407 4.3272 Å, 90.00 90.00 90.00°
With the nearest neighbours (Å) after each atom.
Sites, in units of the cell vectors:
Rb 0.0000 0.0000 0.0000  4 Ba 3.81
Rb 0.5000 0.5000 0.0000  4 Ba 3.81
Ba 0.1376 0.3624 0.0000  6 Te 3.55-3.65, 2 Rb 3.81, 1 Ba 3.83
Ba 0.3624 0.8624 0.0000  6 Te 3.55-3.65, 2 Rb 3.81, 1 Ba 3.83
Ba 0.6376 0.1376 0.0000  6 Te 3.55-3.65, 2 Rb 3.81, 1 Ba 3.83
Ba 0.8624 0.6376 0.0000  6 Te 3.55-3.65, 2 Rb 3.81, 1 Ba 3.83
Te 0.1606 0.6606 0.5000  6 Ba 3.55-3.65
Te 0.3394 0.1606 0.5000  6 Ba 3.55-3.65
Te 0.6606 0.8394 0.5000  6 Ba 3.55-3.65
Te 0.8394 0.3394 0.5000  6 Ba 3.55-3.65



Entry 9:
Computed, not measured: a relaxed RbBa3Te crystal at the GGA-PBE level of DFT.

Results
V   65.61 Å³/atom
Relative energy among the computed polymorphs   0.000 eV per atom
Space-group type   Pm-3m (221)
Energy relative to the elements, uncorrected   -0.511 eV per atom
Crystal system   cubic

Cell: 6.8969 6.8969 6.8969 Å, 90.00 90.00 90.00°
With the nearest neighbours (Å) after each atom.
Sites, in units of the cell vectors:
Rb 0.0000 0.0000 0.0000  12 Ba 4.88
Ba 0.0000 0.5000 0.5000  2 Te 3.45
Ba 0.5000 0.0000 0.5000  2 Te 3.45
Ba 0.5000 0.5000 0.0000  2 Te 3.45
Te 0.5000 0.5000 0.5000  6 Ba 3.45



Entry 10:
Computed, not measured: a relaxed Rb3BaTe crystal at the GGA-PBE level of DFT.

Results
V   72.26 Å³/atom
Relative energy among the computed polymorphs   0.000 eV per atom
Space-group type   Pm-3m (221)
Energy relative to the elements, uncorrected   -0.317 eV per atom
Crystal system   cubic

Cell: 7.1224 7.1224 7.1224 Å, 90.00 90.00 90.00°
With the nearest neighbours (Å) after each atom.
Sites, in units of the cell vectors:
Rb 0.0000 0.0000 0.5000  2 Te 3.56
Rb 0.0000 0.5000 0.0000  2 Te 3.56
Rb 0.5000 0.0000 0.0000  2 Te 3.56
Ba 0.5000 0.5000 0.5000  12 Rb 5.04
Te 0.0000 0.0000 0.0000  6 Rb 3.56



Entry 11:
Computed, not measured: a relaxed RbBa2Te crystal at the GGA-PBE level of DFT.

Results
V   64.65 Å³/atom
Space-group type   I-42d (122)
Energy relative to the elements, uncorrected   -0.580 eV per atom
Crystal system   tetragonal

Cell: 8.9134 8.9134 8.9134 Å, 102.60 102.60 124.32°
With the nearest neighbours (Å) after each atom.
Sites, in units of the cell vectors:
Rb 0.0000 0.0000 0.0000  2 Te 4.16, 4 Ba 4.52
Rb 0.7500 0.2500 0.5000  2 Te 4.16, 4 Ba 4.52
Ba 0.2225 0.6250 0.0975  2 Te 3.43
Ba 0.3750 0.4725 0.5975  2 Te 3.43
Ba 0.5275 0.1250 0.9025  2 Te 3.43
Ba 0.8750 0.7775 0.4025  2 Te 3.43
Te 0.2500 0.7500 0.5000  4 Ba 3.43
Te 0.5000 0.5000 0.0000  4 Ba 3.43



Entry 12:
Computed, not measured: a relaxed Rb2Ba2Te crystal at the GGA-PBE level of DFT.

Results
V   61.25 Å³/atom
Relative energy among the computed polymorphs   0.277 eV per atom
Space-group type   P4/mbm (127)
Energy relative to the elements, uncorrected   -0.182 eV per atom
Crystal system   tetragonal

Cell: 9.2347 9.2347 7.1823 Å, 90.00 90.00 90.00°
With the nearest neighbours (Å) after each atom.
Sites, in units of the cell vectors:
Rb 0.1518 0.3482 0.0000  2 Te 3.51
Rb 0.3482 0.8482 0.0000  2 Te 3.51
Rb 0.6518 0.1518 0.0000  2 Te 3.51
Rb 0.8482 0.6518 0.0000  2 Te 3.51
Ba 0.1736 0.6736 0.5000  6 Rb 4.25-4.69, 1 Ba 4.53
Ba 0.3264 0.1736 0.5000  6 Rb 4.25-4.69, 1 Ba 4.53
Ba 0.6736 0.8264 0.5000  6 Rb 4.25-4.69, 1 Ba 4.53
Ba 0.8264 0.3264 0.5000  6 Rb 4.25-4.69, 1 Ba 4.53
Te 0.0000 0.0000 0.0000  4 Rb 3.51
Te 0.5000 0.5000 0.0000  4 Rb 3.51



Entry 13:
Computed, not measured: a relaxed RbBa2Te2 crystal at the GGA-PBE level of DFT.

Results
V   57.32 Å³/atom
Relative energy among the computed polymorphs   0.124 eV per atom
Space-group type   I4/mmm (139)
Energy relative to the elements, uncorrected   -1.156 eV per atom
Crystal system   tetragonal

Cell: 8.1584 8.1584 8.1584 Å, 132.84 132.84 68.90°
With the nearest neighbours (Å) after each atom.
Sites, in units of the cell vectors:
Rb 0.0000 0.0000 0.0000  2 Ba 4.36, 8 Te 4.69
Ba 0.3238 0.3238 0.0000  4 Te 3.41
Ba 0.6762 0.6762 0.0000  4 Te 3.41
Te 0.2500 0.7500 0.5000  4 Ba 3.41
Te 0.7500 0.2500 0.5000  4 Ba 3.41



Entry 14:
Computed, not measured: a relaxed Rb2Ba2Te crystal at the GGA-PBE level of DFT.

Results
V   68.63 Å³/atom
Relative energy among the computed polymorphs   0.000 eV per atom
Space-group type   P4/mbm (127)
Energy relative to the elements, uncorrected   -0.459 eV per atom
Crystal system   tetragonal

Cell: 9.2395 9.2395 8.0387 Å, 90.00 90.00 90.00°
With the nearest neighbours (Å) after each atom.
Sites, in units of the cell vectors:
Rb 0.1662 0.3338 0.0000  1 Rb 4.34, 2 Ba 4.53
Rb 0.3338 0.8338 0.0000  1 Rb 4.34, 2 Ba 4.53
Rb 0.6662 0.1662 0.0000  1 Rb 4.34, 2 Ba 4.53
Rb 0.8338 0.6662 0.0000  1 Rb 4.34, 2 Ba 4.53
Ba 0.1745 0.6745 0.5000  2 Te 3.41
Ba 0.3255 0.1745 0.5000  2 Te 3.41
Ba 0.6745 0.8255 0.5000  2 Te 3.41
Ba 0.8255 0.3255 0.5000  2 Te 3.41
Te 0.0000 0.0000 0.5000  4 Ba 3.41
Te 0.5000 0.5000 0.5000  4 Ba 3.41



Entry 15:
Computed, not measured: a relaxed Rb2Ba2Te crystal at the GGA-PBE level of DFT.

Results
V   61.88 Å³/atom
Relative energy among the computed polymorphs   0.413 eV per atom
Space-group type   I4/mmm (139)
Energy relative to the elements, uncorrected   -0.046 eV per atom
Crystal system   tetragonal

Cell: 11.8776 11.8776 11.8776 Å, 154.53 154.53 36.32°
With the nearest neighbours (Å) after each atom.
Sites, in units of the cell vectors:
Rb 0.0737 0.0737 0.0000  1 Rb 3.33
Rb 0.9263 0.9263 0.0000  1 Rb 3.33
Ba 0.2500 0.7500 0.5000  4 Ba 3.70
Ba 0.7500 0.2500 0.5000  4 Ba 3.70
Te 0.5000 0.5000 0.0000  8 Rb 4.06



Entry 16:
Computed, not measured: a relaxed RbBaTe4 crystal at the GGA-PBE level of DFT.

Results
V   43.44 Å³/atom
Space-group type   C2/m (12)
Energy relative to the elements, uncorrected   -0.801 eV per atom
Crystal system   monoclinic

Cell: 6.9392 6.9392 9.4539 Å, 124.85 124.85 47.06°
With the nearest neighbours (Å) after each atom.
Sites, in units of the cell vectors:
Rb 0.0000 0.0000 0.0000  8 Te 3.64-4.05
Ba 0.5000 0.5000 0.5000  4 Te 3.52-3.59
Te 0.2410 0.2410 0.5473  2 Te 2.96
Te 0.2970 0.2970 0.0244  2 Te 2.94
Te 0.7030 0.7030 0.9756  2 Te 2.94
Te 0.7590 0.7590 0.4527  2 Te 2.96



Entry 17:
Computed, not measured: a relaxed Rb3BaTe crystal at the GGA-PBE level of DFT.

Results
V   91.25 Å³/atom
Relative energy among the computed polymorphs   0.787 eV per atom
Space-group type   Pm-3m (221)
Energy relative to the elements, uncorrected   0.470 eV per atom
Crystal system   cubic

Cell: 7.6985 7.6985 7.6985 Å, 90.00 90.00 90.00°
With the nearest neighbours (Å) after each atom.
Sites, in units of the cell vectors:
Rb 0.0000 0.0000 0.5000  2 Ba 3.85
Rb 0.0000 0.5000 0.0000  2 Ba 3.85
Rb 0.5000 0.0000 0.0000  2 Ba 3.85
Ba 0.0000 0.0000 0.0000  6 Rb 3.85
Te 0.5000 0.5000 0.5000  12 Rb 5.44



Entry 18:
Computed, not measured: a relaxed RbBa2Te2 crystal at the GGA-PBE level of DFT.

Results
V   58.11 Å³/atom
Relative energy among the computed polymorphs   0.188 eV per atom
Space-group type   I4/mmm (139)
Energy relative to the elements, uncorrected   -1.092 eV per atom
Crystal system   tetragonal

Cell: 9.1330 9.1330 9.1330 Å, 141.70 141.70 55.29°
With the nearest neighbours (Å) after each atom.
Sites, in units of the cell vectors:
Rb 0.0000 0.0000 0.0000  8 Te 4.84, 8 Ba 5.03
Ba 0.2500 0.7500 0.5000  4 Te 3.44
Ba 0.7500 0.2500 0.5000  4 Te 3.44
Te 0.3551 0.3551 0.0000  4 Ba 3.44
Te 0.6449 0.6449 0.0000  4 Ba 3.44



Entry 19:
Computed, not measured: a relaxed RbBaTe crystal at the GGA-PBE level of DFT.

Results
V   55.90 Å³/atom
Relative energy among the computed polymorphs   0.022 eV per atom
Space-group type   I4mm (107)
Energy relative to the elements, uncorrected   -0.980 eV per atom
Crystal system   tetragonal

Cell: 8.9861 8.9861 8.9861 Å, 151.23 151.23 41.14°
With the nearest neighbours (Å) after each atom.
Sites, in units of the cell vectors:
Rb 0.0000 0.0000 0.0000  1 Ba 4.00, 4 Te 4.04, 4 Rb 4.46
Ba 0.2376 0.2376 0.0000  4 Te 3.48
Te 0.6501 0.6501 0.0000  4 Ba 3.48



Entry 20:
Computed, not measured: a relaxed RbBa2Te crystal at the GGA-PBE level of DFT.

Results
V   64.21 Å³/atom
Space-group type   R-3m (166)
Energy relative to the elements, uncorrected   -0.738 eV per atom
Crystal system   trigonal

Cell: 13.5319 13.5319 13.5319 Å, 20.13 20.13 20.13°
With the nearest neighbours (Å) after each atom.
Sites, in units of the cell vectors:
Rb 0.0000 0.0000 0.0000  2 Ba 4.52, 6 Rb 4.73
Ba 0.1137 0.1137 0.1137  3 Te 3.45
Ba 0.8863 0.8863 0.8863  3 Te 3.45
Te 0.5000 0.5000 0.5000  6 Ba 3.45